*A*
{
  "formula": "AcTbSe",
  "functional": "PBE-GGA",
  "state": "optimized geometry",
  "cell": [[3.769, 0.000, 0.000], [0.000, 3.769, 0.000], [-1.885, -1.885, 6.582]],
  "species": ["Ac", "Tb", "Se"],
  "frac_coords": [[0.353, 0.353, 0.707], [0.632, 0.632, 0.265], [0.014, 0.014, 0.028]],
  "sg": "I4mm",
  "magnetic_moment_mub_per_cell": 0.00
}

---

*B*
{
  "formula": "AcTbSe",
  "functional": "PBE-GGA",
  "state": "optimized geometry",
  "cell": [[4.074, 0.000, 0.000], [-2.037, 3.528, 0.000], [0.000, 0.000, 7.009]],
  "species": ["Ac", "Tb", "Se"],
  "frac_coords": [[0.000, 0.000, 0.952], [0.667, 0.333, 0.402], [0.333, 0.667, 0.646]],
  "sg": "P3m1",
  "magnetic_moment_mub_per_cell": 1.22
}

---

Winner for stability: *B*